Here is a PBEsol-optimized structure of ZrScCl from Alexandria. Energies are from meta-GGA SCAN.

Cell and atoms, written as extended XYZ:
```
3
Lattice="0.000 2.524 6.360 1.856 0.000 6.360 1.856 2.524 0.000" Properties=species:S:1:pos:R:3 pbc="T T T"
Zr 0.000 0.000 0.000
Sc 1.856 2.524 8.639
Cl 1.856 2.524 4.270
```

* E_tot: -54.96 eV/cell